Entry 1:
This record from Alexandria via LeMat-Bulk describes a relaxed HfMn2Cl crystal. The functional is PBE.

The structure in POSCAR format:
```
HfMn2Cl
1.0
-3.6684 3.6684 2.5724
3.6684 -3.6684 2.5724
3.6684 3.6684 -2.5724
Hf Mn Cl
2 4 2
Direct
0.0000 0.0000 0.0000 Hf
0.7500 0.2500 0.5000 Hf
0.1738 0.1250 0.5488 Mn
0.3750 0.8262 0.9512 Mn
0.5762 0.6250 0.4512 Mn
0.8750 0.4238 0.0488 Mn
0.2500 0.7500 0.5000 Cl
0.5000 0.5000 0.0000 Cl
```

Output
Energy relative to the elements, uncorrected ... 6.9 kcal/mol of atoms
D(E_F) ... 5.541 states/eV/cell
Crystal system ... tetragonal
E ... -28.94 eV per formula unit
Symmetry ... I-42d (122)
E above lowest polymorph ... 0.0000 eV per atom


Entry 2:
This record from Alexandria via LeMat-Bulk describes a relaxed HfMnCl6 crystal. The functional is PBE.

The structure in POSCAR format:
```
HfMnCl6
1.0
3.1077 -6.2982 0.0000
3.1077 6.2982 0.0000
-1.9492 0.0000 5.9016
Hf Mn Cl
1 1 6
Direct
0.0000 0.0000 0.0000 Hf
0.5000 0.5000 0.5000 Mn
0.1094 0.3818 0.2451 Cl
0.2418 0.2418 0.7574 Cl
0.3818 0.1094 0.2451 Cl
0.6182 0.8906 0.7549 Cl
0.7582 0.7582 0.2426 Cl
0.8906 0.6182 0.7549 Cl
```

Output
Energy relative to the elements, uncorrected ... -35.1 kcal/mol of atoms
D(E_F) ... 0.000 states/eV/cell
Crystal system ... monoclinic
E ... -42.39 eV per formula unit
Symmetry ... C2/m (12)
E above lowest polymorph ... 0.0000 eV per atom


Entry 3:
This record from Alexandria via LeMat-Bulk describes a relaxed HfMnCl2 crystal. The functional is PBE.

The structure in POSCAR format:
```
HfMnCl2
1.0
-2.7494 2.7494 5.0195
2.7494 -2.7494 5.0195
2.7494 2.7494 -5.0195
Hf Mn Cl
2 2 4
Direct
0.0000 0.0000 0.0000 Hf
0.7500 0.2500 0.5000 Hf
0.2500 0.7500 0.5000 Mn
0.5000 0.5000 0.0000 Mn
0.1719 0.6250 0.0469 Cl
0.3750 0.4219 0.5469 Cl
0.5781 0.1250 0.9531 Cl
0.8750 0.8281 0.4531 Cl
```

Output
Energy relative to the elements, uncorrected ... 6.7 kcal/mol of atoms
D(E_F) ... 8.085 states/eV/cell
Crystal system ... tetragonal
E ... -21.66 eV per formula unit
Symmetry ... I-42d (122)
E above lowest polymorph ... 0.8040 eV per atom


Entry 4:
This record from Alexandria via LeMat-Bulk describes a relaxed HfMn3Cl crystal. The functional is PBE.

The structure in POSCAR format:
```
HfMn3Cl
1.0
4.9376 0.0000 0.0000
0.0000 4.9376 0.0000
0.0000 0.0000 4.9376
Hf Mn Cl
1 3 1
Direct
0.0000 0.0000 0.0000 Hf
0.0000 0.0000 0.5000 Mn
0.0000 0.5000 0.0000 Mn
0.5000 0.0000 0.0000 Mn
0.5000 0.5000 0.5000 Cl
```

Output
Energy relative to the elements, uncorrected ... 31.7 kcal/mol of atoms
D(E_F) ... 4.261 states/eV/cell
Crystal system ... cubic
E ... -32.43 eV per formula unit
Symmetry ... Pm-3m (221)


Entry 5:
This record from Alexandria via LeMat-Bulk describes a relaxed Hf2MnCl crystal. The functional is PBE.

The structure in POSCAR format:
```
Hf2MnCl
1.0
-2.7814 2.7814 6.1459
2.7814 -2.7814 6.1459
2.7814 2.7814 -6.1459
Hf Mn Cl
4 2 2
Direct
0.0593 0.6250 0.9343 Hf
0.3750 0.3093 0.4343 Hf
0.6907 0.1250 0.0657 Hf
0.8750 0.9407 0.5657 Hf
0.0000 0.0000 0.0000 Mn
0.7500 0.2500 0.5000 Mn
0.2500 0.7500 0.5000 Cl
0.5000 0.5000 0.0000 Cl
```

Output
Energy relative to the elements, uncorrected ... 10.7 kcal/mol of atoms
D(E_F) ... 1.267 states/eV/cell
Crystal system ... tetragonal
E ... -29.07 eV per formula unit
Symmetry ... I-42d (122)
E above lowest polymorph ... 0.2429 eV per atom


Entry 6:
This record from Alexandria via LeMat-Bulk describes a relaxed HfMnCl2 crystal. The functional is PBE.

The structure in POSCAR format:
```
HfMnCl2
1.0
0.0000 3.2174 3.2174
3.2174 0.0000 3.2174
3.2174 3.2174 0.0000
Hf Mn Cl
1 1 2
Direct
0.0000 0.0000 0.0000 Hf
0.5000 0.5000 0.5000 Mn
0.2500 0.2500 0.2500 Cl
0.7500 0.7500 0.7500 Cl
```

Output
Energy relative to the elements, uncorrected ... 0.6 kcal/mol of atoms
D(E_F) ... 2.569 states/eV/cell
Crystal system ... cubic
E ... -22.71 eV per formula unit
Symmetry ... Fm-3m (225)
E above lowest polymorph ... 0.5405 eV per atom


Entry 7:
This record from Alexandria via LeMat-Bulk describes a relaxed HfMn2Cl crystal. The functional is PBE.

The structure in POSCAR format:
```
HfMn2Cl
1.0
0.0000 3.2061 3.2061
3.2061 0.0000 3.2061
3.2061 3.2061 0.0000
Hf Mn Cl
1 2 1
Direct
0.0000 0.0000 0.0000 Hf
0.2500 0.2500 0.2500 Mn
0.7500 0.7500 0.7500 Mn
0.5000 0.5000 0.5000 Cl
```

Output
Energy relative to the elements, uncorrected ... 15.0 kcal/mol of atoms
D(E_F) ... 2.639 states/eV/cell
Crystal system ... cubic
E ... -27.54 eV per formula unit
Symmetry ... Fm-3m (225)
E above lowest polymorph ... 0.3500 eV per atom


Entry 8:
This record from Alexandria via LeMat-Bulk describes a relaxed HfMnCl6 crystal. The functional is PBE.

The structure in POSCAR format:
```
HfMnCl6
1.0
3.2016 1.8484 5.7264
-3.2016 1.8484 5.7264
0.0000 -3.6968 5.7264
Hf Mn Cl
1 1 6
Direct
0.0000 0.0000 0.0000 Hf
0.5000 0.5000 0.5000 Mn
0.1047 0.7561 0.3859 Cl
0.2439 0.6141 0.8953 Cl
0.3859 0.1047 0.7561 Cl
0.6141 0.8953 0.2439 Cl
0.7561 0.3859 0.1047 Cl
0.8953 0.2439 0.6141 Cl
```

Output
Energy relative to the elements, uncorrected ... -34.8 kcal/mol of atoms
D(E_F) ... 0.000 states/eV/cell
Crystal system ... trigonal
E ... -42.26 eV per formula unit
Symmetry ... R-3 (148)
E above lowest polymorph ... 0.0158 eV per atom


Entry 9:
This record from Alexandria via LeMat-Bulk describes a relaxed Hf2MnCl crystal. The functional is PBE.

The structure in POSCAR format:
```
Hf2MnCl
1.0
0.0000 3.2954 3.2954
3.2954 0.0000 3.2954
3.2954 3.2954 0.0000
Hf Mn Cl
2 1 1
Direct
0.2500 0.2500 0.2500 Hf
0.7500 0.7500 0.7500 Hf
0.0000 0.0000 0.0000 Mn
0.5000 0.5000 0.5000 Cl
```

Output
Energy relative to the elements, uncorrected ... 5.1 kcal/mol of atoms
D(E_F) ... 3.984 states/eV/cell
Crystal system ... cubic
E ... -30.04 eV per formula unit
Symmetry ... Fm-3m (225)
E above lowest polymorph ... 0.0000 eV per atom


Entry 10:
This record from Alexandria via LeMat-Bulk describes a relaxed HfMnCl2 crystal. The functional is PBE.

The structure in POSCAR format:
```
HfMnCl2
1.0
1.5929 0.9197 9.7413
-1.5929 0.9197 9.7413
0.0000 -1.8394 9.7413
Hf Mn Cl
1 1 2
Direct
0.0000 0.0000 0.0000 Hf
0.5000 0.5000 0.5000 Mn
0.3970 0.3970 0.3970 Cl
0.6030 0.6030 0.6030 Cl
```

Output
Energy relative to the elements, uncorrected ... -11.8 kcal/mol of atoms
D(E_F) ... 2.239 states/eV/cell
Crystal system ... trigonal
E ... -24.87 eV per formula unit
Symmetry ... R-3m (166)
E above lowest polymorph ... 0.0000 eV per atom


Number 1: magnetization 13.9 μB per cell. Number 2: magnetization 5.0 μB per cell. Number 3: magnetization 0.0 μB per cell. Number 4: magnetization 9.7 μB per cell. Number 5: magnetization 0.0 μB per cell. Number 6: magnetization 4.0 μB per cell. Number 7: magnetization 5.0 μB per cell. Number 8: magnetization 5.0 μB per cell. Number 9: magnetization 1.7 μB per cell. Number 10: magnetization 4.6 μB per cell.